Compound: CaCrP3
Source: Alexandria via LeMat-Bulk
Functional: PBE
Structure: optimized geometry

The crystal system is cubic. The formation energy is 1.291 eV/atom. For the energy above the lowest structure with this stoichiometry, the calculation gives 1438 meV per atom. Its space group is Pm-3m.

Unit cell a=5.107 b=5.107 c=5.107 alpha=90.00 beta=90.00 gamma=90.00
Site moments in Bohr magnetons follow the coordinates.
Fractional positions:
P 0.000 0.000 0.500  0.04
P 0.000 0.500 0.000  0.07
P 0.500 0.000 0.000  0.07
Cr 0.500 0.500 0.500  -4.10
Ca 0.000 0.000 0.000  -0.03

---

Compound: Ca2CrP
Source: Alexandria via LeMat-Bulk
Functional: PBE
Structure: optimized geometry

The crystal system is orthorhombic. The formation energy is -0.313 eV/atom. Its space group is Amm2.

Unit cell a=3.893 b=4.435 c=6.071 alpha=68.57 beta=90.00 gamma=90.00
Site moments in Bohr magnetons follow the coordinates.
Fractional positions:
Ca 0.000 0.985 0.906  0.01
Ca 0.500 0.276 0.324  -0.01
P 0.500 0.558 0.759  -0.07
Cr 0.000 0.682 0.511  3.25

---

Compound: Ca2CrP
Source: Alexandria via LeMat-Bulk
Functional: PBE
Structure: optimized geometry

The crystal system is tetragonal. The formation energy is 0.033 eV/atom. Its space group is I-4m2.

Unit cell a=5.842 b=5.842 c=5.842 alpha=136.83 beta=136.83 gamma=62.70
Site moments in Bohr magnetons follow the coordinates.
Fractional positions:
Cr 0.500 0.500 0.000  3.84
P 0.750 0.250 0.500  -0.01
Ca 0.250 0.750 0.500  0.01
Ca 0.000 0.000 0.000  0.01

---

Compound: CaCr3P
Source: Alexandria via LeMat-Bulk
Functional: PBE
Structure: optimized geometry

The crystal system is cubic. The formation energy is 2.708 eV/atom. For the energy above the lowest structure with this stoichiometry, the calculation gives 2326 meV per atom. Its space group is Pm-3m.

Unit cell a=4.327 b=4.327 c=4.327 alpha=90.00 beta=90.00 gamma=90.00
Fractional positions:
P 0.500 0.500 0.500
Cr 0.000 0.500 0.000
Cr 0.000 0.000 0.500
Cr 0.500 0.000 0.000
Ca 0.000 0.000 0.000